{"formula": "Ge2Pt2Br", "functional": "PBE", "state": "optimized geometry", "cell": [[-2.142, 2.142, 5.581], [2.142, -2.142, 5.581], [2.142, 2.142, -5.581]], "species": ["Ge", "Ge", "Pt", "Pt", "Br"], "frac_coords": [[0.250, 0.750, 0.500], [0.750, 0.250, 0.500], [0.127, 0.127, 0.000], [0.873, 0.873, 0.000], [0.500, 0.500, 0.000]], "volume_a3_per_atom": 20.493, "m_tot_mub_per_fu": 0.0, "formation_energy_uncorrected_mev_per_atom": -140, "crystal_system": "tetragonal", "mass_density_kg_m3": 9972, "total_energy_ev_per_cell": -23.7}

{"formula": "Ge2PtBr", "functional": "PBE", "state": "optimized geometry", "cell": [[-2.987, 2.987, 6.378], [2.987, -2.987, 6.378], [2.987, 2.987, -6.378]], "species": ["Ge", "Ge", "Ge", "Ge", "Pt", "Pt", "Br", "Br"], "frac_coords": [[0.040, 0.625, 0.915], [0.375, 0.290, 0.415], [0.710, 0.125, 0.085], [0.875, 0.960, 0.585], [0.000, 0.000, 0.000], [0.750, 0.250, 0.500], [0.250, 0.750, 0.500], [0.500, 0.500, 0.000]], "relative_energy_ev_per_atom": 0.000, "volume_a3_per_atom": 28.442, "m_tot_mub_per_fu": 0.0, "formation_energy_uncorrected_mev_per_atom": -92, "crystal_system": "tetragonal", "mass_density_kg_m3": 6134, "total_energy_ev_per_cell": -34.6}

{"formula": "GePt2Br", "functional": "PBE", "state": "optimized geometry", "cell": [[0.000, 3.275, 3.275], [3.275, 0.000, 3.275], [3.275, 3.275, 0.000]], "species": ["Ge", "Pt", "Pt", "Br"], "frac_coords": [[0.000, 0.000, 0.000], [0.250, 0.250, 0.250], [0.750, 0.750, 0.750], [0.500, 0.500, 0.500]], "relative_energy_ev_per_atom": 0.170, "volume_a3_per_atom": 17.565, "m_tot_mub_per_fu": 0.0, "formation_energy_uncorrected_mev_per_atom": 318, "crystal_system": "cubic", "mass_density_kg_m3": 12827, "total_energy_ev_per_cell": -17.1}

{"formula": "GePt2Br2", "functional": "PBE", "state": "optimized geometry", "cell": [[-1.786, 1.786, 10.827], [1.786, -1.786, 10.827], [1.786, 1.786, -10.827]], "species": ["Ge", "Pt", "Pt", "Br", "Br"], "frac_coords": [[0.000, 0.000, 0.000], [0.250, 0.750, 0.500], [0.750, 0.250, 0.500], [0.423, 0.423, 0.000], [0.577, 0.577, 0.000]], "volume_a3_per_atom": 27.640, "m_tot_mub_per_fu": 0.0, "formation_energy_uncorrected_mev_per_atom": 346, "crystal_system": "tetragonal", "mass_density_kg_m3": 7481, "total_energy_ev_per_cell": -18.3}

{"formula": "GePtBr3", "functional": "PBE", "state": "optimized geometry", "cell": [[5.149, 0.000, 0.000], [0.000, 5.149, 0.000], [0.000, 0.000, 5.149]], "species": ["Ge", "Pt", "Br", "Br", "Br"], "frac_coords": [[0.000, 0.000, 0.000], [0.500, 0.500, 0.500], [0.000, 0.500, 0.500], [0.500, 0.000, 0.500], [0.500, 0.500, 0.000]], "relative_energy_ev_per_atom": 0.000, "volume_a3_per_atom": 27.308, "m_tot_mub_per_fu": 0.6, "formation_energy_uncorrected_mev_per_atom": 217, "crystal_system": "cubic", "mass_density_kg_m3": 6171, "total_energy_ev_per_cell": -14.6}

{"formula": "Ge2PtBr", "functional": "PBE", "state": "optimized geometry", "cell": [[0.000, 3.386, 3.386], [3.386, 0.000, 3.386], [3.386, 3.386, 0.000]], "species": ["Ge", "Ge", "Pt", "Br"], "frac_coords": [[0.250, 0.250, 0.250], [0.750, 0.750, 0.750], [0.000, 0.000, 0.000], [0.500, 0.500, 0.500]], "relative_energy_ev_per_atom": 0.360, "volume_a3_per_atom": 19.412, "m_tot_mub_per_fu": 0.0, "formation_energy_uncorrected_mev_per_atom": 268, "crystal_system": "cubic", "mass_density_kg_m3": 8988, "total_energy_ev_per_cell": -15.9}

{"formula": "Si2GePtBr", "functional": "PBE", "state": "optimized geometry", "cell": [[4.846, 0.000, 0.000], [0.000, 4.846, 0.000], [0.000, 0.000, 5.000]], "species": ["Si", "Si", "Ge", "Pt", "Br"], "frac_coords": [[0.000, 0.500, 0.000], [0.500, 0.000, 0.000], [0.000, 0.000, 0.500], [0.500, 0.500, 0.500], [0.000, 0.000, 0.000]], "volume_a3_per_atom": 23.482, "m_tot_mub_per_fu": 0.0, "formation_energy_uncorrected_mev_per_atom": 1461, "crystal_system": "tetragonal", "mass_density_kg_m3": 5711, "total_energy_ev_per_cell": -15.9}

{"formula": "Sm6GePt2Br3", "functional": "PBE", "state": "optimized geometry", "cell": [[3.661, -6.344, 0.000], [3.661, 6.344, 0.000], [-2.447, 0.000, 7.445]], "species": ["Sm", "Sm", "Sm", "Sm", "Sm", "Sm", "Ge", "Pt", "Pt", "Br", "Br", "Br"], "frac_coords": [[0.088, 0.430, 0.796], [0.226, 0.226, 0.204], [0.430, 0.088, 0.796], [0.570, 0.912, 0.204], [0.774, 0.774, 0.796], [0.912, 0.570, 0.204], [0.500, 0.500, 0.000], [0.167, 0.833, 0.000], [0.833, 0.167, 0.000], [0.000, 0.000, 0.500], [0.341, 0.659, 0.500], [0.659, 0.341, 0.500]], "volume_a3_per_atom": 28.819, "m_tot_mub_per_fu": 0.0, "formation_energy_uncorrected_mev_per_atom": -1163, "crystal_system": "monoclinic", "mass_density_kg_m3": 7705, "total_energy_ev_per_cell": -64.0}

{"formula": "Sm6Ge2PtBr3", "functional": "PBE", "state": "optimized geometry", "cell": [[9.435, -2.095, 0.000], [9.435, 2.095, 0.000], [-2.127, 0.000, 8.571]], "species": ["Sm", "Sm", "Sm", "Sm", "Sm", "Sm", "Ge", "Ge", "Pt", "Br", "Br", "Br"], "frac_coords": [[0.007, 0.007, 0.220], [0.325, 0.325, 0.434], [0.342, 0.342, 0.895], [0.658, 0.658, 0.105], [0.675, 0.675, 0.566], [0.993, 0.993, 0.780], [0.166, 0.166, 0.337], [0.834, 0.834, 0.663], [0.500, 0.500, 0.000], [0.172, 0.172, 0.833], [0.500, 0.500, 0.500], [0.828, 0.828, 0.167]], "volume_a3_per_atom": 28.232, "m_tot_mub_per_fu": 0.0, "formation_energy_uncorrected_mev_per_atom": -1145, "crystal_system": "monoclinic", "mass_density_kg_m3": 7265, "total_energy_ev_per_cell": -62.3}

{"formula": "Tl2GePtBr", "functional": "PBE", "state": "optimized geometry", "cell": [[5.883, 0.000, 0.000], [0.000, 5.883, 0.000], [0.000, 0.000, 5.167]], "species": ["Tl", "Tl", "Ge", "Pt", "Br"], "frac_coords": [[0.000, 0.500, 0.000], [0.500, 0.000, 0.000], [0.000, 0.000, 0.500], [0.500, 0.500, 0.500], [0.000, 0.000, 0.000]], "volume_a3_per_atom": 35.772, "m_tot_mub_per_fu": 0.0, "formation_energy_uncorrected_mev_per_atom": 822, "crystal_system": "tetragonal", "mass_density_kg_m3": 7022, "total_energy_ev_per_cell": -13.0}

{"formula": "VGe2PtBr", "functional": "PBE", "state": "optimized geometry", "cell": [[5.038, 0.000, 0.000], [0.000, 5.038, 0.000], [0.000, 0.000, 4.767]], "species": ["V", "Ge", "Ge", "Pt", "Br"], "frac_coords": [[0.000, 0.000, 0.000], [0.000, 0.500, 0.500], [0.500, 0.000, 0.500], [0.500, 0.500, 0.000], [0.500, 0.500, 0.500]], "volume_a3_per_atom": 24.201, "m_tot_mub_per_fu": 0.1, "formation_energy_uncorrected_mev_per_atom": 1510, "crystal_system": "tetragonal", "mass_density_kg_m3": 6466, "total_energy_ev_per_cell": -18.5}

{"formula": "ZrGePt2Br", "functional": "PBE", "state": "optimized geometry", "cell": [[4.985, 0.000, 0.000], [0.000, 4.985, 0.000], [0.000, 0.000, 5.605]], "species": ["Zr", "Ge", "Pt", "Pt", "Br"], "frac_coords": [[0.000, 0.000, 0.000], [0.000, 0.000, 0.500], [0.000, 0.500, 0.000], [0.500, 0.000, 0.000], [0.500, 0.500, 0.500]], "volume_a3_per_atom": 27.855, "m_tot_mub_per_fu": 0.0, "formation_energy_uncorrected_mev_per_atom": 754, "crystal_system": "tetragonal", "mass_density_kg_m3": 7558, "total_energy_ev_per_cell": -23.1}